# 1
{
  "formula": "AlTeIO2",
  "functional": "PBE-GGA",
  "state": "optimized geometry",
  "lattice_angstrom": [[3.948, 0.000, 0.000], [0.000, 3.948, 0.000], [0.000, 0.000, 6.755]],
  "species": ["I", "Te", "Al", "O", "O"],
  "fractional_positions": [[0.000, 0.000, 0.500], [0.500, 0.500, 0.500], [0.000, 0.000, 0.000], [0.000, 0.500, 0.000], [0.500, 0.000, 0.000]],
  "magmom_total_mub_per_cell": 0.0,
  "e_tot_ev_per_atom": -4.099,
  "formation_energy_uncorrected_ev_per_atom": -0.429,
  "sg": "P4/mmm, No. 123",
  "n_ef_per_ev_fu": 5.04,
  "relative_energy_mev_per_atom": 0
}

***

# 2
{
  "formula": "KSnH2",
  "functional": "PBE-GGA",
  "state": "optimized geometry",
  "lattice_angstrom": [[-0.340, -3.420, -3.093], [-4.003, -2.255, -0.522], [-2.506, 0.597, -3.840]],
  "species": ["H", "H", "K", "Sn"],
  "fractional_positions": [[0.250, 0.250, 0.250], [0.750, 0.750, 0.750], [0.000, 0.000, 0.000], [0.500, 0.500, 0.500]],
  "magmom_total_mub_per_cell": 0.5,
  "e_tot_ev_per_atom": -2.455,
  "sg": "Fm-3m, No. 225",
  "n_ef_per_ev_fu": 1.82,
  "relative_energy_mev_per_atom": 501
}

***

# 3
{
  "formula": "U2PaMo",
  "functional": "PBE-GGA",
  "state": "optimized geometry",
  "lattice_angstrom": [[-1.897, 0.113, -4.520], [2.692, -1.469, -3.826], [-1.095, -4.187, -2.305]],
  "species": ["Mo", "Pa", "U", "U"],
  "fractional_positions": [[0.500, 0.500, 0.500], [0.000, 0.000, 0.000], [0.250, 0.250, 0.250], [0.750, 0.750, 0.750]],
  "magmom_total_mub_per_cell": 4.9,
  "e_tot_ev_per_atom": -10.386,
  "formation_enthalpy_0k_mev_per_atom": 339,
  "sg": "Fm-3m, No. 225",
  "n_ef_per_ev_fu": 10.72,
  "relative_energy_mev_per_atom": 85
}

***

# 4
{
  "formula": "BaLa2Pb",
  "functional": "PBE-GGA",
  "state": "optimized geometry",
  "lattice_angstrom": [[-1.386, -3.982, -1.108], [3.676, -0.654, -2.250], [3.445, -3.009, 6.503]],
  "species": ["Pb", "Ba", "La", "La"],
  "fractional_positions": [[0.500, 0.500, 0.250], [0.500, 0.500, 0.750], [0.000, 0.000, 0.053], [0.000, 0.000, 0.447]],
  "magmom_total_mub_per_cell": 0.0,
  "e_tot_ev_per_atom": -4.086,
  "formation_enthalpy_0k_mev_per_atom": -214,
  "sg": "P4/mmm, No. 123",
  "n_ef_per_ev_fu": 5.44
}

***

# 5
{
  "formula": "Li2HgB2Rh5",
  "functional": "PBE-GGA",
  "state": "optimized geometry",
  "lattice_angstrom": [[-1.770, 0.132, 2.314], [-7.057, -4.267, -5.153], [3.152, -8.727, 2.909]],
  "species": ["Li", "Li", "Li", "Li", "Hg", "Hg", "B", "B", "B", "B", "Rh", "Rh", "Rh", "Rh", "Rh", "Rh", "Rh", "Rh", "Rh", "Rh"],
  "fractional_positions": [[0.000, 0.676, 0.176], [0.000, 0.324, 0.824], [0.000, 0.176, 0.324], [0.000, 0.824, 0.676], [0.000, 0.000, 0.000], [0.000, 0.500, 0.500], [0.000, 0.122, 0.622], [0.000, 0.878, 0.378], [0.000, 0.622, 0.878], [0.000, 0.378, 0.122], [0.500, 0.230, 0.071], [0.500, 0.770, 0.929], [0.500, 0.071, 0.770], [0.500, 0.730, 0.429], [0.500, 0.929, 0.230], [0.500, 0.270, 0.571], [0.500, 0.571, 0.730], [0.500, 0.429, 0.270], [0.500, 0.500, 0.000], [0.500, 0.000, 0.500]],
  "magmom_total_mub_per_cell": 0.0,
  "e_tot_ev_per_atom": -5.690,
  "formation_enthalpy_0k_mev_per_atom": -266,
  "sg": "P4/mbm, No. 127",
  "n_ef_per_ev_fu": 7.16
}

***

# 6
{
  "formula": "NaUIn2",
  "functional": "PBE-GGA",
  "state": "optimized geometry",
  "lattice_angstrom": [[-0.571, 2.835, 0.803], [-3.936, 0.416, -4.270], [-4.145, -1.866, 3.638]],
  "species": ["Na", "U", "In", "In"],
  "fractional_positions": [[0.500, 0.500, 0.500], [0.500, 0.000, 0.000], [0.000, 0.000, 0.500], [0.000, 0.500, 0.000]],
  "magmom_total_mub_per_cell": 2.9,
  "e_tot_ev_per_atom": -4.446,
  "formation_enthalpy_0k_mev_per_atom": 75,
  "sg": "P4/mmm, No. 123",
  "n_ef_per_ev_fu": 4.63,
  "relative_energy_mev_per_atom": 17
}

***

# 7
{
  "formula": "K2TlSe",
  "functional": "PBE-GGA",
  "state": "optimized geometry",
  "lattice_angstrom": [[-2.721, -6.935, 0.088], [-0.471, -4.518, -5.905], [4.299, 4.228, 4.376]],
  "species": ["K", "K", "Se", "Tl"],
  "fractional_positions": [[0.996, 0.996, 0.000], [0.693, 0.193, 0.500], [0.488, 0.488, 0.000], [0.323, 0.823, 0.500]],
  "magmom_total_mub_per_cell": 0.0,
  "e_tot_ev_per_atom": -2.595,
  "formation_energy_uncorrected_ev_per_atom": -0.584,
  "sg": "Imm2, No. 44",
  "n_ef_per_ev_fu": 1.88,
  "relative_energy_mev_per_atom": 33
}

***

# 8
{
  "formula": "TbCePm2Sb5",
  "functional": "PBE-GGA",
  "state": "optimized geometry",
  "lattice_angstrom": [[5.299, 0.000, 0.000], [0.000, 5.299, 0.000], [0.000, 0.000, 11.759]],
  "species": ["Tb", "Ce", "Pm", "Pm", "Sb", "Sb", "Sb", "Sb", "Sb"],
  "fractional_positions": [[0.000, 0.000, 0.500], [0.000, 0.000, 0.000], [0.500, 0.500, 0.279], [0.500, 0.500, 0.721], [0.000, 0.500, 0.500], [0.500, 0.000, 0.500], [0.000, 0.000, 0.752], [0.000, 0.000, 0.248], [0.500, 0.500, 0.000]],
  "magmom_total_mub_per_cell": 0.5,
  "e_tot_ev_per_atom": -4.787,
  "formation_energy_uncorrected_ev_per_atom": -0.267,
  "sg": "P4/mmm, No. 123",
  "n_ef_per_ev_fu": 10.33
}

***

# 9
{
  "formula": "CoNi2IrN",
  "functional": "PBE-GGA",
  "state": "optimized geometry",
  "lattice_angstrom": [[3.809, 0.000, 0.000], [0.000, 3.809, 0.000], [0.000, 0.000, 3.733]],
  "species": ["Ni", "Ni", "Ir", "Co", "N"],
  "fractional_positions": [[0.000, 0.500, 0.000], [0.500, 0.000, 0.000], [0.500, 0.500, 0.500], [0.000, 0.000, 0.500], [0.000, 0.000, 0.000]],
  "magmom_total_mub_per_cell": 2.4,
  "e_tot_ev_per_atom": -6.960,
  "formation_energy_uncorrected_ev_per_atom": 0.211,
  "sg": "P4/mmm, No. 123",
  "n_ef_per_ev_fu": 6.32
}

***

# 10
{
  "formula": "CoHRu3",
  "functional": "PBE-GGA",
  "state": "optimized geometry",
  "lattice_angstrom": [[-3.099, -1.587, -1.538], [1.974, -3.180, -0.695], [-0.995, -1.363, 3.412]],
  "species": ["Ru", "Ru", "Ru", "Co", "H"],
  "fractional_positions": [[0.000, 0.500, 0.000], [0.000, 0.000, 0.500], [0.500, 0.000, 0.000], [0.500, 0.500, 0.500], [0.000, 0.000, 0.000]],
  "magmom_total_mub_per_cell": 0.0,
  "e_tot_ev_per_atom": -7.454,
  "sg": "Pm-3m, No. 221",
  "n_ef_per_ev_fu": 5.09,
  "relative_energy_mev_per_atom": 0
}

***

# 11
{
  "formula": "BC3",
  "functional": "PBE-GGA",
  "state": "optimized geometry",
  "lattice_angstrom": [[-2.290, -0.192, 1.054], [0.621, -2.230, 0.944], [4.039, 5.244, 9.732]],
  "species": ["B", "B", "B", "C", "C", "C", "C", "C", "C", "C", "C", "C"],
  "fractional_positions": [[0.500, 0.500, 0.824], [0.500, 0.000, 0.939], [0.500, 0.000, 0.569], [0.500, 0.500, 0.480], [0.000, 0.000, 0.663], [0.000, 0.500, 0.733], [0.500, 0.500, 0.177], [0.500, 0.000, 0.253], [0.000, 0.000, 0.329], [0.000, 0.500, 0.407], [0.000, 0.000, 0.025], [0.000, 0.500, 0.100]],
  "magmom_total_mub_per_cell": 0.0,
  "e_tot_ev_per_atom": -8.336,
  "formation_enthalpy_0k_mev_per_atom": 252,
  "sg": "Pmm2, No. 25",
  "n_ef_per_ev_fu": 0.77,
  "relative_energy_mev_per_atom": 11
}

***

# 12
{
  "formula": "Cs2H2Cl",
  "functional": "PBE-GGA",
  "state": "optimized geometry",
  "lattice_angstrom": [[8.377, 0.000, 0.000], [0.000, 8.377, 0.000], [0.000, 0.000, 4.057]],
  "species": ["Cs", "Cs", "Cs", "Cs", "H", "H", "H", "H", "Cl", "Cl"],
  "fractional_positions": [[0.193, 0.693, 0.500], [0.693, 0.807, 0.500], [0.807, 0.307, 0.500], [0.307, 0.193, 0.500], [0.464, 0.964, 0.000], [0.964, 0.536, 0.000], [0.536, 0.036, 0.000], [0.036, 0.464, 0.000], [0.000, 0.000, 0.000], [0.500, 0.500, 0.000]],
  "magmom_total_mub_per_cell": 2.0,
  "e_tot_ev_per_atom": -2.691,
  "sg": "P4/mbm, No. 127",
  "n_ef_per_ev_fu": 0.26,
  "relative_energy_mev_per_atom": 74
}